No. 1
Entry from the Alexandria database: Pr4DyY4 after structural relaxation (PBE-GGA).

Properties
Volume   33.92 Å³/atom
Energy relative to the elements   0.02 eV/atom
Distance to the lowest polymorph of the same formula   0.0 meV/atom
Uncorrected energy   -98.86 eV/cell

Cell: 11.429 5.157 10.905 Å, 90.00 108.22 90.00°
Space group C2/m (No. 12)
Symmetry-distinct sites (fractional):
Pr 0.000 0.000 0.168 [4 per cell]
Pr 0.167 0.500 0.389 [4 per cell]
Dy 0.000 0.000 0.500 [2 per cell]
Y 0.166 0.500 0.054 [4 per cell]
Y 0.168 0.500 0.724 [4 per cell]

No. 2
Entry from the Alexandria database: PrNdIBr after structural relaxation (PBE-GGA).

Properties
Formation energy without anion corrections   -0.88 eV per atom
Volume   28.14 Å³/atom
Uncorrected energy   -65.16 eV/cell

Cell: 7.665 7.665 7.665 Å, 90.00 90.00 90.00°
Space group F-43m (No. 216)
Symmetry-distinct sites (fractional):
Pr 0.000 0.000 0.000 [4 per cell]
Nd 0.000 0.000 0.500 [4 per cell]
I 0.250 0.250 0.750 [4 per cell]
Br 0.250 0.250 0.250 [4 per cell]

No. 3
Entry from the Alexandria database: Cr7C after structural relaxation (PBE-GGA).

Properties
Volume   10.93 Å³/atom
Energy relative to the elements   0.59 eV/atom
Uncorrected energy   -287.39 eV/cell

Cell: 7.046 7.046 7.046 Å, 90.00 90.00 90.00°
Space group Fm-3m (No. 225)
Symmetry-distinct sites (fractional):
Cr 0.000 0.000 0.000 [4 per cell]
Cr 0.000 0.250 0.250 [24 per cell]
C 0.000 0.000 0.500 [4 per cell]

No. 4
Entry from the Alexandria database: ZnGe3Pb after structural relaxation (PBE-GGA).

Properties
Volume   24.10 Å³/atom
Energy relative to the elements   0.49 eV/atom
Distance to the lowest polymorph of the same formula   0.0 meV/atom
Uncorrected energy   -16.40 eV/cell

Cell: 4.939 4.939 4.939 Å, 90.00 90.00 90.00°
Space group Pm-3m (No. 221)
Symmetry-distinct sites (fractional):
Zn 0.000 0.000 0.000 [1 per cell]
Ge 0.000 0.000 0.500 [3 per cell]
Pb 0.500 0.500 0.500 [1 per cell]

No. 5
Entry from the Alexandria database: YTcF3 after structural relaxation (PBE-GGA).

Properties
Formation energy without anion corrections   -1.88 eV per atom
Volume   18.31 Å³/atom
Distance to the lowest polymorph of the same formula   0.0 meV/atom
Uncorrected energy   -31.87 eV/cell

Cell: 4.507 4.507 4.507 Å, 90.00 90.00 90.00°
Space group Pm-3m (No. 221)
Symmetry-distinct sites (fractional):
Y 0.000 0.000 0.000 [1 per cell]
Tc 0.500 0.500 0.500 [1 per cell]
F 0.000 0.000 0.500 [3 per cell]

No. 6
Entry from the Alexandria database: Pr3Nd2Al3 after structural relaxation (PBE-GGA).

Properties
Volume   28.19 Å³/atom
Energy relative to the elements   -0.20 eV/atom
Uncorrected energy   -36.71 eV/cell

Cell: 8.7284 8.7284 3.4183 Å, 90.00 90.00 120.00°
Space group P-62m (No. 189)
Symmetry-distinct sites (fractional):
Pr 0.0000 0.2473 0.0000 [3 per cell]
Nd 0.3333 0.6667 0.0000 [2 per cell]
Al 0.0000 0.6190 0.5000 [3 per cell]

No. 7
Entry from the Alexandria database: SiTcIr4 after structural relaxation (PBE-GGA).

Properties
Formation energy without anion corrections   0.67 eV per atom
Volume   16.06 Å³/atom
Uncorrected energy   -188.73 eV/cell

Cell: 7.277 7.277 7.277 Å, 90.00 90.00 90.00°
Space group F-43m (No. 216)
Symmetry-distinct sites (fractional):
Si 0.000 0.000 0.000 [4 per cell]
Tc 0.250 0.250 0.750 [4 per cell]
Ir 0.125 0.125 0.375 [16 per cell]

No. 8
Entry from the Alexandria database: LiInPb after structural relaxation (PBE-GGA).

Properties
Volume   24.15 Å³/atom
Energy relative to the elements   -0.13 eV/atom
Uncorrected energy   -35.02 eV/cell

Cell: 9.246 6.801 6.188 Å, 90.00 131.85 90.00°
Space group Cc (No. 9)
Symmetry-distinct sites (fractional):
Li 0.000 0.001 0.000 [4 per cell]
In 0.174 0.329 0.424 [4 per cell]
Pb 0.321 0.179 0.070 [4 per cell]

No. 9
Entry from the Alexandria database: Cs4AuSF after structural relaxation (PBE-GGA).

Properties
Formation energy without anion corrections   -1.25 eV per atom
Volume   41.68 Å³/atom
Uncorrected energy   -42.85 eV/cell

Cell: 5.597 5.597 18.625 Å, 90.00 90.00 90.00°
Space group I4mm (No. 107)
Symmetry-distinct sites (fractional):
Cs 0.000 0.000 0.000 [2 per cell]
Cs 0.000 0.000 0.356 [2 per cell]
Cs 0.000 0.500 0.159 [4 per cell]
Au 0.000 0.000 0.810 [2 per cell]
S 0.000 0.000 0.540 [2 per cell]
F 0.000 0.000 0.192 [2 per cell]

No. 10
Entry from the Alexandria database: CaLa2Tc after structural relaxation (PBE-GGA).

Properties
Volume   26.90 Å³/atom
Energy relative to the elements   0.54 eV/atom
Distance to the lowest polymorph of the same formula   473.9 meV/atom
Uncorrected energy   -40.10 eV/cell

Cell: 6.865 10.577 3.306 Å, 90.00 116.28 90.00°
Space group C2/m (No. 12)
Symmetry-distinct sites (fractional):
Ca 0.000 0.000 0.000 [2 per cell]
La 0.250 0.250 0.500 [4 per cell]
Tc 0.000 0.500 0.000 [2 per cell]

No. 11
Entry from the Alexandria database: BaBeGa2Ir after structural relaxation (PBE-GGA).

Properties
Volume   21.56 Å³/atom
Energy relative to the elements   -0.39 eV/atom
Uncorrected energy   -22.52 eV/cell

Cell: 4.858 4.858 4.569 Å, 90.00 90.00 90.00°
Space group P4/mmm (No. 123)
Symmetry-distinct sites (fractional):
Ba 0.000 0.000 0.000 [1 per cell]
Be 0.500 0.500 0.000 [1 per cell]
Ga 0.000 0.500 0.500 [2 per cell]
Ir 0.500 0.500 0.500 [1 per cell]

No. 12
Entry from the Alexandria database: SmHoInSn after structural relaxation (PBE-GGA).

Properties
Volume   27.41 Å³/atom
Energy relative to the elements   -0.51 eV/atom
Distance to the lowest polymorph of the same formula   100.8 meV/atom
Uncorrected energy   -72.28 eV/cell

Cell: 7.598 7.598 7.598 Å, 90.00 90.00 90.00°
Space group F-43m (No. 216)
Symmetry-distinct sites (fractional):
Sm 0.000 0.000 0.000 [4 per cell]
Ho 0.000 0.000 0.500 [4 per cell]
In 0.250 0.250 0.750 [4 per cell]
Sn 0.250 0.250 0.250 [4 per cell]

No. 13
Entry from the Alexandria database: Li2Ni2B after structural relaxation (PBE-GGA).

Properties
Volume   11.24 Å³/atom
Energy relative to the elements   -0.20 eV/atom
Uncorrected energy   -46.11 eV/cell

Cell: 5.152 5.152 4.233 Å, 90.00 90.00 90.00°
Space group P4/mbm (No. 127)
Symmetry-distinct sites (fractional):
Li 0.173 0.327 0.000 [4 per cell]
Ni 0.160 0.660 0.500 [4 per cell]
B 0.000 0.000 0.500 [2 per cell]

No. 14
Entry from the Alexandria database: Nb3HSe after structural relaxation (PBE-GGA).

Properties
Volume   14.74 Å³/atom
Distance to the lowest polymorph of the same formula   0.0 meV/atom
Uncorrected energy   -36.89 eV/cell

Cell: 4.193 4.193 4.193 Å, 90.00 90.00 90.00°
Space group Pm-3m (No. 221)
Symmetry-distinct sites (fractional):
Nb 0.000 0.000 0.500 [3 per cell]
H 0.000 0.000 0.000 [1 per cell]
Se 0.500 0.500 0.500 [1 per cell]

No. 15
Entry from the Alexandria database: ScTlIBr2 after structural relaxation (PBE-GGA).

Properties
Formation energy without anion corrections   -1.04 eV per atom
Volume   34.37 Å³/atom
Uncorrected energy   -18.81 eV/cell

Cell: 5.371 5.371 5.957 Å, 90.00 90.00 90.00°
Space group P4/mmm (No. 123)
Symmetry-distinct sites (fractional):
Sc 0.000 0.000 0.000 [1 per cell]
Tl 0.500 0.500 0.500 [1 per cell]
I 0.000 0.000 0.500 [1 per cell]
Br 0.000 0.500 0.000 [2 per cell]

No. 16
Entry from the Alexandria database: ErTm3Mg after structural relaxation (PBE-GGA).

Properties
Volume   31.30 Å³/atom
Energy relative to the elements   0.20 eV/atom
Distance to the lowest polymorph of the same formula   176.6 meV/atom
Uncorrected energy   -37.11 eV/cell

Cell: 3.524 10.980 8.254 Å, 90.00 101.48 90.00°
Space group P2_1/m (No. 11)
Symmetry-distinct sites (fractional):
Er 0.006 0.250 0.460 [2 per cell]
Tm 0.165 0.006 0.809 [4 per cell]
Tm 0.306 0.250 0.098 [2 per cell]
Mg 0.344 0.750 0.218 [2 per cell]

No. 17
Entry from the Alexandria database: CaCe2DyS4 after structural relaxation (PBE-GGA).

Properties
Formation energy without anion corrections   -2.02 eV per atom
Volume   22.64 Å³/atom
Uncorrected energy   -51.15 eV/cell

Cell: 6.902 3.973 6.989 Å, 90.00 109.09 90.00°
Space group P2/m (No. 10)
Symmetry-distinct sites (fractional):
Ca 0.000 0.000 0.000 [1 per cell]
Ce 0.000 0.500 0.500 [1 per cell]
Ce 0.500 0.000 0.500 [1 per cell]
Dy 0.500 0.500 0.000 [1 per cell]
S 0.249 0.500 0.241 [2 per cell]
S 0.256 0.000 0.761 [2 per cell]

No. 18
Entry from the Alexandria database: TbScCo after structural relaxation (PBE-GGA).

Properties
Volume   22.03 Å³/atom
Energy relative to the elements   -0.16 eV/atom
Distance to the lowest polymorph of the same formula   24.6 meV/atom
Uncorrected energy   -37.11 eV/cell

Cell: 5.333 4.374 5.868 Å, 90.00 105.08 90.00°
Space group P2_1/m (No. 11)
Symmetry-distinct sites (fractional):
Tb 0.075 0.250 0.288 [2 per cell]
Sc 0.472 0.250 0.807 [2 per cell]
Co 0.371 0.750 0.576 [2 per cell]

No. 19
Entry from the Alexandria database: Tb12Nd7Er after structural relaxation (PBE-GGA).

Properties
Volume   34.09 Å³/atom
Energy relative to the elements   0.23 eV/atom
Distance to the lowest polymorph of the same formula   0.0 meV/atom
Uncorrected energy   -266.73 eV/cell

Cell: 12.0452 12.0452 16.2794 Å, 90.00 90.00 120.00°
Space group R-3 (No. 148, hexagonal axes)
Symmetry-distinct sites (fractional):
Tb 0.0270 0.5765 0.2225 [18 per cell]
Tb 0.0524 0.4666 0.5825 [18 per cell]
Nd 0.0000 0.0000 0.0000 [3 per cell]
Nd 0.0570 0.8694 0.2889 [18 per cell]
Er 0.0000 0.0000 0.5000 [3 per cell]

No. 20
Entry from the Alexandria database: PrHo2Er after structural relaxation (PBE-GGA).

Properties
Volume   32.08 Å³/atom
Energy relative to the elements   0.03 eV/atom
Distance to the lowest polymorph of the same formula   21.5 meV/atom
Uncorrected energy   -18.40 eV/cell

Cell: 5.041 5.041 5.048 Å, 90.00 90.00 90.00°
Space group P4/mmm (No. 123)
Symmetry-distinct sites (fractional):
Pr 0.000 0.000 0.000 [1 per cell]
Ho 0.000 0.500 0.500 [2 per cell]
Er 0.500 0.500 0.000 [1 per cell]

No. 21
Entry from the Alexandria database: BaLi3Ir after structural relaxation (PBE-GGA).

Properties
Volume   23.57 Å³/atom
Energy relative to the elements   0.11 eV/atom
Distance to the lowest polymorph of the same formula   124.7 meV/atom
Uncorrected energy   -15.97 eV/cell

Cell: 4.903 4.903 4.903 Å, 90.00 90.00 90.00°
Space group Pm-3m (No. 221)
Symmetry-distinct sites (fractional):
Ba 0.000 0.000 0.000 [1 per cell]
Li 0.000 0.500 0.500 [3 per cell]
Ir 0.500 0.500 0.500 [1 per cell]

No. 22
Entry from the Alexandria database: PmNdTePb after structural relaxation (PBE-GGA).

Properties
Formation energy without anion corrections   -1.04 eV per atom
Volume   32.78 Å³/atom
Uncorrected energy   -20.52 eV/cell

Cell: 4.529 4.529 6.393 Å, 90.00 90.00 90.00°
Space group P4/mmm (No. 123)
Symmetry-distinct sites (fractional):
Pm 0.000 0.000 0.000 [1 per cell]
Nd 0.500 0.500 0.500 [1 per cell]
Te 0.000 0.000 0.500 [1 per cell]
Pb 0.500 0.500 0.000 [1 per cell]

No. 23
Entry from the Alexandria database: CaTlAg after structural relaxation (PBE-GGA).

Properties
Volume   31.00 Å³/atom
Energy relative to the elements   0.11 eV/atom
Uncorrected energy   -27.52 eV/cell

Cell: 7.192 7.192 7.192 Å, 90.00 90.00 90.00°
Space group F-43m (No. 216)
Symmetry-distinct sites (fractional):
Ca 0.000 0.000 0.000 [4 per cell]
Tl 0.250 0.250 0.250 [4 per cell]
Ag 0.250 0.250 0.750 [4 per cell]

No. 24
Entry from the Alexandria database: LaPmDyY after structural relaxation (PBE-GGA).

Properties
Volume   33.91 Å³/atom
Energy relative to the elements   0.03 eV/atom
Distance to the lowest polymorph of the same formula   0.0 meV/atom
Uncorrected energy   -41.25 eV/cell

Cell: 5.146 5.146 10.242 Å, 90.00 90.00 90.00°
Space group I-4m2 (No. 119)
Symmetry-distinct sites (fractional):
La 0.000 0.000 0.000 [2 per cell]
Pm 0.000 0.500 0.750 [2 per cell]
Dy 0.000 0.500 0.250 [2 per cell]
Y 0.000 0.000 0.500 [2 per cell]

No. 25
Entry from the Alexandria database: MoHPd2Au after structural relaxation (PBE-GGA).

Properties
Volume   13.57 Å³/atom
Uncorrected energy   -26.93 eV/cell

Cell: 4.071 4.071 4.093 Å, 90.00 90.00 90.00°
Space group P4/mmm (No. 123)
Symmetry-distinct sites (fractional):
Mo 0.000 0.000 0.000 [1 per cell]
H 0.000 0.000 0.500 [1 per cell]
Pd 0.000 0.500 0.500 [2 per cell]
Au 0.500 0.500 0.000 [1 per cell]

No. 26
Entry from the Alexandria database: BaCa2HgS4 after structural relaxation (PBE-GGA).

Properties
Formation energy without anion corrections   -1.57 eV per atom
Volume   26.18 Å³/atom
Uncorrected energy   -141.07 eV/cell

Cell: 4.166 14.049 14.314 Å, 90.00 90.00 90.00°
Space group Cmcm (No. 63)
Symmetry-distinct sites (fractional):
Ba 0.000 0.126 0.250 [4 per cell]
Ca 0.000 0.374 0.050 [8 per cell]
Hg 0.000 0.148 0.750 [4 per cell]
S 0.000 0.000 0.000 [4 per cell]
S 0.000 0.263 0.613 [8 per cell]
S 0.000 0.457 0.250 [4 per cell]